Material: SiSb2TeIr
Method: DFT, GGA-PBE
State: optimized geometry

a b c (Å): 5.0067 5.0067 5.0168
angles (deg): 90.00 90.00 90.00
Last column: nearest neighbours and their distance in Å.
Atoms (fractional coordinates):
Te 0.0000 0.0000 0.5000  2 Si 2.51
Ir 0.5000 0.5000 0.5000  4 Te 3.54, 8 Sb 3.54
Sb 0.0000 0.5000 0.0000  2 Si 2.50
Si 0.0000 0.0000 0.0000  4 Sb 2.50, 2 Te 2.51
Sb 0.5000 0.0000 0.0000  2 Si 2.50

Computed properties:
space group	P4/mmm (123)
total DFT energy (no corrections)	-3.9592	eV per atom
energy relative to the lowest polymorph listed for this composition	419.9	meV per atom
formation energy from raw total energies	1.1749	eV/atom